# 1
Computed, not measured: a geometry-optimized Tb7Y12Er structure at the PBE-GGA level of DFT.

Properties
SG: R-3 (148)
Magnetization, μB per formula unit: 0.000
Energy above the most stable polymorph in this dataset, eV per formula unit: 1.01

abc: 10.979 10.979 10.979
angles: 115.94 115.94 115.94
Positions (direct):
Tb1 0.000 0.000 0.000
Tb2 0.133 0.297 0.435
Tb3 0.297 0.435 0.133
Tb4 0.435 0.133 0.297
Tb5 0.565 0.867 0.703
Tb6 0.703 0.565 0.867
Tb7 0.867 0.703 0.565
Y1 0.004 0.582 0.793
Y2 0.207 0.996 0.418
Y3 0.232 0.300 0.755
Y4 0.245 0.768 0.700
Y5 0.300 0.755 0.232
Y6 0.418 0.207 0.996
Y7 0.582 0.793 0.004
Y8 0.700 0.245 0.768
Y9 0.755 0.232 0.300
Y10 0.768 0.700 0.245
Y11 0.793 0.004 0.582
Y12 0.996 0.418 0.207
Er1 0.500 0.500 0.500

---

# 2
Computed, not measured: a geometry-optimized TbYEr2 structure at the PBE-GGA level of DFT.

Properties
SG: Pmmm (47)
Magnetization, μB per formula unit: 0.003
Energy above the most stable polymorph in this dataset, eV per formula unit: 0.05

abc: 3.543 4.988 7.076
angles: 90.00 90.00 90.00
Positions (direct):
Tb1 0.000 0.000 0.000
Y1 0.000 0.000 0.500
Er1 0.500 0.500 0.249
Er2 0.500 0.500 0.751

---

# 3
Computed, not measured: a geometry-optimized Tb6Y19Er4 structure at the PBE-GGA level of DFT.

Properties
SG: I23 (197)
Magnetization, μB per formula unit: 0.000
Energy, eV per atom: -5.44

abc: 10.785 10.785 10.785
angles: 109.47 109.47 109.47
Positions (direct):
Tb1 0.124 0.500 0.624
Tb2 0.376 0.876 0.500
Tb3 0.500 0.376 0.876
Tb4 0.500 0.624 0.124
Tb5 0.624 0.124 0.500
Tb6 0.876 0.500 0.376
Y1 0.000 0.000 0.000
Y2 0.000 0.259 0.259
Y3 0.000 0.741 0.741
Y4 0.017 0.218 0.674
Y5 0.201 0.983 0.658
Y6 0.218 0.674 0.017
Y7 0.259 0.000 0.259
Y8 0.259 0.259 0.000
Y9 0.326 0.543 0.342
Y10 0.342 0.326 0.543
Y11 0.457 0.782 0.799
Y12 0.543 0.342 0.326
Y13 0.658 0.201 0.983
Y14 0.674 0.017 0.218
Y15 0.741 0.000 0.741
Y16 0.741 0.741 0.000
Y17 0.782 0.799 0.457
Y18 0.799 0.457 0.782
Y19 0.983 0.658 0.201
Er1 0.000 0.000 0.358
Er2 0.000 0.358 0.000
Er3 0.358 0.000 0.000
Er4 0.642 0.642 0.642

---

# 4
Computed, not measured: a geometry-optimized TbY3Er2 structure at the PBE-GGA level of DFT.

Properties
SG: C2/m (12)
Magnetization, μB per formula unit: 0.000
Energy above the most stable polymorph in this dataset, eV per formula unit: 0.59

abc: 11.659 11.659 10.177
angles: 108.13 108.13 17.22
Positions (direct):
Tb1 0.187 0.187 0.041
Tb2 0.813 0.813 0.959
Y1 0.059 0.059 0.440
Y2 0.196 0.196 0.715
Y3 0.431 0.431 0.229
Y4 0.569 0.569 0.771
Y5 0.804 0.804 0.285
Y6 0.941 0.941 0.560
Er1 0.193 0.193 0.373
Er2 0.429 0.429 0.863
Er3 0.571 0.571 0.137
Er4 0.807 0.807 0.627

---

# 5
Computed, not measured: a geometry-optimized Tb6YEr2 structure at the PBE-GGA level of DFT.

Properties
SG: C2/c (15)
Magnetization, μB per formula unit: 0.000
Energy above the most stable polymorph in this dataset, eV per formula unit: 1.93

abc: 9.829 9.829 6.280
angles: 101.35 101.35 91.72
Positions (direct):
Tb1 0.069 0.823 0.986
Tb2 0.079 0.507 0.272
Tb3 0.177 0.931 0.514
Tb4 0.349 0.437 0.040
Tb5 0.437 0.349 0.540
Tb6 0.493 0.921 0.228
Tb7 0.507 0.079 0.772
Tb8 0.563 0.651 0.460
Tb9 0.651 0.563 0.960
Tb10 0.823 0.069 0.486
Tb11 0.921 0.493 0.728
Tb12 0.931 0.177 0.014
Y1 0.321 0.679 0.750
Y2 0.679 0.321 0.250
Er1 0.130 0.257 0.587
Er2 0.257 0.130 0.087
Er3 0.743 0.870 0.913
Er4 0.870 0.743 0.413

---

# 6
Computed, not measured: a geometry-optimized Tb6YEr2 structure at the PBE-GGA level of DFT.

Properties
SG: P-1 (2)
Magnetization, μB per formula unit: 0.000
Energy above the most stable polymorph in this dataset, eV per formula unit: 0.00

abc: 3.551 8.689 9.388
angles: 89.95 79.20 89.86
Positions (direct):
Tb1 0.112 0.334 0.279
Tb2 0.221 0.666 0.057
Tb3 0.333 0.000 0.833
Tb4 0.667 0.000 0.167
Tb5 0.779 0.334 0.943
Tb6 0.888 0.666 0.721
Y1 0.000 0.000 0.500
Er1 0.445 0.335 0.611
Er2 0.555 0.665 0.389

---

# 7
Computed, not measured: a geometry-optimized Tb4Y7Er2 structure at the PBE-GGA level of DFT.

Properties
SG: P-31m (162)
Magnetization, μB per formula unit: 0.000
Energy, eV per atom: -5.44

abc: 6.086 6.086 13.241
angles: 90.00 90.00 120.00
Positions (direct):
Tb1 0.000 0.000 0.106
Tb2 0.000 0.000 0.894
Tb3 0.333 0.667 0.000
Tb4 0.667 0.333 0.000
Y1 0.000 0.000 0.500
Y2 0.000 0.357 0.715
Y3 0.000 0.643 0.285
Y4 0.357 0.000 0.715
Y5 0.357 0.357 0.285
Y6 0.643 0.000 0.285
Y7 0.643 0.643 0.715
Er1 0.333 0.667 0.500
Er2 0.667 0.333 0.500

---

# 8
Computed, not measured: a geometry-optimized Tb7Y2Er2 structure at the PBE-GGA level of DFT.

Properties
SG: C2/m (12)
Magnetization, μB per formula unit: 0.000
Energy, eV per atom: -4.79

abc: 8.013 8.013 6.025
angles: 106.02 106.02 90.33
Positions (direct):
Tb1 0.000 0.000 0.000
Tb2 0.056 0.590 0.825
Tb3 0.234 0.234 0.589
Tb4 0.410 0.944 0.175
Tb5 0.590 0.056 0.825
Tb6 0.766 0.766 0.411
Tb7 0.944 0.410 0.175
Y1 0.216 0.784 0.500
Y2 0.784 0.216 0.500
Er1 0.415 0.415 0.198
Er2 0.585 0.585 0.802

---

# 9
Computed, not measured: a geometry-optimized Tb6Y8Er structure at the PBE-GGA level of DFT.

Properties
SG: R-3 (148)
Magnetization, μB per formula unit: 0.000
Energy above the most stable polymorph in this dataset, eV per formula unit: 0.00

abc: 8.658 8.658 8.658
angles: 63.08 63.08 63.08
Positions (direct):
Tb1 0.041 0.611 0.725
Tb2 0.275 0.959 0.389
Tb3 0.389 0.275 0.959
Tb4 0.611 0.725 0.041
Tb5 0.725 0.041 0.611
Tb6 0.959 0.389 0.275
Y1 0.077 0.077 0.077
Y2 0.221 0.610 0.244
Y3 0.244 0.221 0.610
Y4 0.390 0.756 0.779
Y5 0.610 0.244 0.221
Y6 0.756 0.779 0.390
Y7 0.779 0.390 0.756
Y8 0.923 0.923 0.923
Er1 0.500 0.500 0.500